DFT (PBE+U) results for an optimized crystal structure of HoTlCoF6.

a b c (Å): 7.589 7.293 7.390
angles (deg): 119.57 120.89 90.00
Atoms (fractional coordinates):
Ho 0.000 0.000 0.500
Ho 0.500 0.000 0.500
F 0.831 0.145 0.266
F 0.435 0.145 0.266
F 0.403 0.153 0.806
F 0.565 0.855 0.734
F 0.597 0.847 0.194
F 0.142 0.892 0.283
F 0.831 0.621 0.266
F 0.858 0.108 0.717
F 0.169 0.855 0.734
F 0.169 0.379 0.734
F 0.435 0.621 0.266
F 0.565 0.379 0.734
Tl 0.844 0.594 0.689
Tl 0.156 0.406 0.311
Co 0.500 0.000 0.000
Co 0.500 0.500 0.000

Results
* energy: -5.4899 eV/atom